Entry 1:
Below is Si2Hg2Ge after structural relaxation, with properties calculated at the PBE-GGA level.

Geometry as CIF:
```
data_Si2Hg2Ge
_cell_length_a 6.677
_cell_length_b 6.677
_cell_length_c 4.713
_cell_angle_alpha 90.00
_cell_angle_beta 90.00
_cell_angle_gamma 90.00
_symmetry_space_group_name_H-M 'P 4/m b m'
_symmetry_Int_Tables_number 127
_symmetry_space_group_name_Hall '-P 4 2ab'
loop_
_atom_site_label
_atom_site_type_symbol
_atom_site_fract_x
_atom_site_fract_y
_atom_site_fract_z
Si1 Si 0.127 0.373 0.000
Hg1 Hg 0.193 0.693 0.500
Ge1 Ge 0.000 0.000 0.000
```

Values from the calculation:
D(E_F), states/eV/atom: 0.289
E, eV/atom: -2.785

---

Entry 2:
Below is SiHgGe2 after structural relaxation, with properties calculated at the PBE-GGA level.

Geometry as CIF:
```
data_SiHgGe2
_cell_length_a 6.844
_cell_length_b 6.844
_cell_length_c 6.844
_cell_angle_alpha 90.00
_cell_angle_beta 90.00
_cell_angle_gamma 90.00
_symmetry_space_group_name_H-M 'F m -3 m'
_symmetry_Int_Tables_number 225
_symmetry_space_group_name_Hall '-F 4 2 3'
loop_
_atom_site_label
_atom_site_type_symbol
_atom_site_fract_x
_atom_site_fract_y
_atom_site_fract_z
Si1 Si 0.000 0.000 0.000
Hg1 Hg 0.000 0.000 0.500
Ge1 Ge 0.250 0.250 0.250
```

Values from the calculation:
E above lowest polymorph, eV/f.u.: 0.80
D(E_F), states/eV/atom: 0.467
E, eV/atom: -3.254

---

Entry 3:
Below is SiHg2Ge2 after structural relaxation, with properties calculated at the PBE-GGA level.

Geometry as CIF:
```
data_SiHg2Ge2
_cell_length_a 6.441
_cell_length_b 6.441
_cell_length_c 5.632
_cell_angle_alpha 90.00
_cell_angle_beta 90.00
_cell_angle_gamma 90.00
_symmetry_space_group_name_H-M 'P 4/m b m'
_symmetry_Int_Tables_number 127
_symmetry_space_group_name_Hall '-P 4 2ab'
loop_
_atom_site_label
_atom_site_type_symbol
_atom_site_fract_x
_atom_site_fract_y
_atom_site_fract_z
Si1 Si 0.000 0.000 0.000
Hg1 Hg 0.179 0.321 0.500
Ge1 Ge 0.140 0.360 0.000
```

Values from the calculation:
D(E_F), states/eV/atom: 0.327
E, eV/atom: -2.771

---

The lowest E belongs to which entry?
SiHgGe2